Compound: Be4InRu
Source: Alexandria
Functional: PBE
Structure: optimized geometry

a b c (Å): 6.3732 6.3732 6.3732
angles (deg): 90.00 90.00 90.00
Space group F-43m (No. 216)
Inequivalent atoms, fractional coordinates:
Be 0.1228 0.1228 0.1228 (multiplicity 16)
In 0.0000 0.0000 0.5000 (multiplicity 4)
Ru 0.2500 0.2500 0.7500 (multiplicity 4)

Calculated values
Its calculated formation energy is -0.111 eV per atom. The crystal system is cubic.